# 1
Here is a relaxed GdHo2ErMg2 crystal from OQMD via LeMat-Bulk. Energies are from PBE-GGA.

## Properties
E: -21.8 eV per cell

a = 5.450 Å, b = 8.778 Å, c = 8.778 Å
α = 24.01°, β = 90.00°, γ = 90.00°
Sites, in units of the cell vectors:
Er  0.000  0.226  0.226
Gd  0.500  0.774  0.774
Ho  0.500  0.093  0.093
Ho  0.000  0.906  0.906
Mg  0.500  0.435  0.435
Mg  0.000  0.565  0.565

---

# 2
Here is a relaxed GdHo2ErTl2 crystal from OQMD via LeMat-Bulk. Energies are from PBE-GGA.

## Properties
E: -24.6 eV per cell

a = 5.381 Å, b = 5.381 Å, c = 6.686 Å
α = 90.00°, β = 90.00°, γ = 120.00°
Site moments in Bohr magnetons follow the coordinates.
Sites, in units of the cell vectors:
Er  0.333  0.667  0.000  0.23
Gd  0.000  0.000  0.500  0.17
Ho  0.667  0.333  0.247  0.28
Ho  0.667  0.333  0.753  0.29
Tl  0.000  0.000  0.000  -0.01
Tl  0.333  0.667  0.500  0.00

---

# 3
Here is a relaxed GdErI6 crystal from OQMD via LeMat-Bulk. Energies are from PBE-GGA.

## Properties
E: -29.7 eV per cell

a = 7.636 Å, b = 7.636 Å, c = 7.645 Å
α = 99.36°, β = 99.36°, γ = 120.07°
Sites, in units of the cell vectors:
Er  0.166  0.834  0.000
Gd  0.834  0.166  0.000
I  0.931  0.583  0.242
I  0.573  0.926  0.242
I  0.228  0.224  0.247
I  0.776  0.772  0.753
I  0.074  0.427  0.758
I  0.417  0.069  0.758